[1]
# PBE BAuI2N, relaxed
data_BAuI2N
_cell_length_a 5.9566
_cell_length_b 5.9566
_cell_length_c 3.8140
_cell_angle_alpha 90.00
_cell_angle_beta 90.00
_cell_angle_gamma 90.00
_space_group_name_H-M_alt 'P 4/m m m'
_space_group_IT_number 123
_space_group_name_Hall '-P 4 2'
loop_
_atom_site_label
_atom_site_type_symbol
_atom_site_fract_x
_atom_site_fract_y
_atom_site_fract_z
B1 B 0.0000 0.0000 0.0000
Au1 Au 0.5000 0.5000 0.5000
I1 I 0.0000 0.5000 0.5000
N1 N 0.5000 0.5000 0.0000
# **Formation energy from raw total energies**: 1661 meV/atom
# **Polymorph energy (0 for the lowest one)**: 1.450 eV/atom
# **Total moment**: 0.019 μB/atom
# **Energy**: -13.1 eV/cell
# **Crystal system**: tetragonal

***

[2]
# PBE NaBAuI2, relaxed
data_NaBAuI2
_cell_length_a 5.7100
_cell_length_b 5.7100
_cell_length_c 4.2185
_cell_angle_alpha 90.00
_cell_angle_beta 90.00
_cell_angle_gamma 90.00
_space_group_name_H-M_alt 'P 4/m m m'
_space_group_IT_number 123
_space_group_name_Hall '-P 4 2'
loop_
_atom_site_label
_atom_site_type_symbol
_atom_site_fract_x
_atom_site_fract_y
_atom_site_fract_z
Na1 Na 0.0000 0.0000 0.0000
B1 B 0.5000 0.5000 0.5000
Au1 Au 0.5000 0.5000 0.0000
I1 I 0.0000 0.5000 0.5000
# **Formation energy from raw total energies**: 93 meV/atom
# **Total moment**: 0.000 μB/atom
# **Energy**: -13.9 eV/cell
# **Crystal system**: tetragonal

***

[3]
# PBE NiBAuI, relaxed
data_NiBAuI
_cell_length_a 7.8017
_cell_length_b 3.2870
_cell_length_c 6.4351
_cell_angle_alpha 90.00
_cell_angle_beta 98.23
_cell_angle_gamma 90.00
_space_group_name_H-M_alt 'C 1 m 1'
_space_group_IT_number 8
loop_
_space_group_symop_operation_xyz
'x,y,z'
'x,-y,z'
'x+1/2,y+1/2,z'
'x+1/2,-y+1/2,z'
loop_
_atom_site_label
_atom_site_type_symbol
_atom_site_fract_x
_atom_site_fract_y
_atom_site_fract_z
Ni1 Ni 0.0000 0.0000 0.0000
B1 B 0.1095 0.5000 0.1311
Au1 Au 0.3091 0.0000 0.1898
I1 I 0.4808 0.0000 0.6785
# **Formation energy from raw total energies**: 327 meV/atom
# **Polymorph energy (0 for the lowest one)**: 0.060 eV/atom
# **Total moment**: 0.000 μB/atom
# **Energy**: -32.0 eV/cell
# **Crystal system**: monoclinic

***

[4]
# PBE NiBAuI, relaxed
data_NiBAuI
_cell_length_a 12.2087
_cell_length_b 3.3044
_cell_length_c 4.1245
_cell_angle_alpha 90.00
_cell_angle_beta 93.65
_cell_angle_gamma 90.00
_space_group_name_H-M_alt 'C 1 m 1'
_space_group_IT_number 8
loop_
_space_group_symop_operation_xyz
'x,y,z'
'x,-y,z'
'x+1/2,y+1/2,z'
'x+1/2,-y+1/2,z'
loop_
_atom_site_label
_atom_site_type_symbol
_atom_site_fract_x
_atom_site_fract_y
_atom_site_fract_z
Ni1 Ni 0.0000 0.0000 0.0000
B1 B 0.4146 0.0000 0.9832
Au1 Au 0.4774 0.0000 0.4934
I1 I 0.2289 0.0000 0.9073
# **Formation energy from raw total energies**: 267 meV/atom
# **Polymorph energy (0 for the lowest one)**: 0.000 eV/atom
# **Total moment**: 0.000 μB/atom
# **Energy**: -32.4 eV/cell
# **Crystal system**: monoclinic

***

[5]
# PBE NiBAuI, relaxed
data_NiBAuI
_cell_length_a 7.7780
_cell_length_b 3.1872
_cell_length_c 7.4534
_cell_angle_alpha 90.00
_cell_angle_beta 112.29
_cell_angle_gamma 90.00
_space_group_name_H-M_alt 'C 1 m 1'
_space_group_IT_number 8
loop_
_space_group_symop_operation_xyz
'x,y,z'
'x,-y,z'
'x+1/2,y+1/2,z'
'x+1/2,-y+1/2,z'
loop_
_atom_site_label
_atom_site_type_symbol
_atom_site_fract_x
_atom_site_fract_y
_atom_site_fract_z
Ni1 Ni 0.0000 0.0000 0.0000
B1 B 0.4488 0.0000 0.1178
Au1 Au 0.2752 0.5000 0.1789
I1 I 0.3465 0.5000 0.6368
# **Formation energy from raw total energies**: 321 meV/atom
# **Polymorph energy (0 for the lowest one)**: 0.054 eV/atom
# **Total moment**: 0.000 μB/atom
# **Energy**: -32.0 eV/cell
# **Crystal system**: monoclinic

***

[6]
# PBE BPb2AuI, relaxed
data_BPb2AuI
_cell_length_a 5.1615
_cell_length_b 5.1615
_cell_length_c 4.9703
_cell_angle_alpha 90.00
_cell_angle_beta 90.00
_cell_angle_gamma 90.00
_space_group_name_H-M_alt 'P 4/m m m'
_space_group_IT_number 123
_space_group_name_Hall '-P 4 2'
loop_
_atom_site_label
_atom_site_type_symbol
_atom_site_fract_x
_atom_site_fract_y
_atom_site_fract_z
B1 B 0.0000 0.0000 0.0000
Pb1 Pb 0.0000 0.5000 0.0000
Au1 Au 0.5000 0.5000 0.5000
I1 I 0.0000 0.0000 0.5000
# **Formation energy from raw total energies**: 712 meV/atom
# **Total moment**: 0.000 μB/atom
# **Energy**: -15.4 eV/cell
# **Crystal system**: tetragonal

***

[7]
# PBE B2PdAuI, relaxed
data_B2PdAuI
_cell_length_a 3.0633
_cell_length_b 4.1332
_cell_length_c 8.8380
_cell_angle_alpha 76.62
_cell_angle_beta 84.97
_cell_angle_gamma 68.29
_space_group_name_H-M_alt 'P 1'
_space_group_IT_number 1
loop_
_space_group_symop_operation_xyz
'x,y,z'
loop_
_atom_site_label
_atom_site_type_symbol
_atom_site_fract_x
_atom_site_fract_y
_atom_site_fract_z
B1 B 0.0000 0.0000 0.0000
B2 B 0.4224 0.1569 0.0001
Pd1 Pd 0.7111 0.5643 0.0288
Au1 Au 0.7116 0.1994 0.7504
I1 I 0.7143 0.3542 0.4320
# **Formation energy from raw total energies**: 181 meV/atom
# **Polymorph energy (0 for the lowest one)**: 0.000 eV/atom
# **Total moment**: 0.000 μB/atom
# **Energy**: -22.5 eV/cell
# **Crystal system**: triclinic

***

[8]
# PBE B2PdAuI, relaxed
data_B2PdAuI
_cell_length_a 3.2399
_cell_length_b 3.5594
_cell_length_c 8.3886
_cell_angle_alpha 90.00
_cell_angle_beta 90.00
_cell_angle_gamma 90.00
_space_group_name_H-M_alt 'P m m 2'
_space_group_IT_number 25
loop_
_space_group_symop_operation_xyz
'x,y,z'
'-x,-y,z'
'-x,y,z'
'x,-y,z'
loop_
_atom_site_label
_atom_site_type_symbol
_atom_site_fract_x
_atom_site_fract_y
_atom_site_fract_z
B1 B 0.2501 0.0000 0.0000
Pd1 Pd 0.0000 0.5000 0.1403
Au1 Au 0.0000 0.0000 0.7523
I1 I 0.0000 0.0000 0.4269
# **Formation energy from raw total energies**: 265 meV/atom
# **Polymorph energy (0 for the lowest one)**: 0.083 eV/atom
# **Total moment**: 0.000 μB/atom
# **Energy**: -22.1 eV/cell
# **Crystal system**: orthorhombic

***

[9]
# PBE B2PdAuI, relaxed
data_B2PdAuI
_cell_length_a 4.0652
_cell_length_b 14.8187
_cell_length_c 3.3326
_cell_angle_alpha 90.00
_cell_angle_beta 115.71
_cell_angle_gamma 90.00
_space_group_name_H-M_alt 'C 1 2 1'
_space_group_IT_number 5
loop_
_space_group_symop_operation_xyz
'x,y,z'
'-x,y,-z'
'x+1/2,y+1/2,z'
'-x+1/2,y+1/2,-z'
loop_
_atom_site_label
_atom_site_type_symbol
_atom_site_fract_x
_atom_site_fract_y
_atom_site_fract_z
B1 B 0.0000 0.0000 0.0000
B2 B 0.0000 0.0010 0.5000
Pd1 Pd 0.0000 0.4238 0.5000
Au1 Au 0.0000 0.5856 0.0000
I1 I 0.0000 0.7713 0.0000
# **Formation energy from raw total energies**: 289 meV/atom
# **Polymorph energy (0 for the lowest one)**: 0.108 eV/atom
# **Total moment**: 0.000 μB/atom
# **Energy**: -43.9 eV/cell
# **Crystal system**: monoclinic

***

[10]
# PBE B2PdAuI, relaxed
data_B2PdAuI
_cell_length_a 13.9354
_cell_length_b 3.3116
_cell_length_c 4.2223
_cell_angle_alpha 90.00
_cell_angle_beta 98.82
_cell_angle_gamma 90.00
_space_group_name_H-M_alt 'C 1 m 1'
_space_group_IT_number 8
loop_
_space_group_symop_operation_xyz
'x,y,z'
'x,-y,z'
'x+1/2,y+1/2,z'
'x+1/2,-y+1/2,z'
loop_
_atom_site_label
_atom_site_type_symbol
_atom_site_fract_x
_atom_site_fract_y
_atom_site_fract_z
B1 B 0.0000 0.2485 0.0000
Pd1 Pd 0.3723 0.5000 0.1746
Au1 Au 0.0225 0.5000 0.5161
I1 I 0.2462 0.5000 0.6282
# **Formation energy from raw total energies**: 246 meV/atom
# **Polymorph energy (0 for the lowest one)**: 0.065 eV/atom
# **Total moment**: 0.000 μB/atom
# **Energy**: -44.3 eV/cell
# **Crystal system**: monoclinic

***

[11]
# PBE B2PdAuI, relaxed
data_B2PdAuI
_cell_length_a 3.1209
_cell_length_b 4.2897
_cell_length_c 8.4815
_cell_angle_alpha 78.94
_cell_angle_beta 79.63
_cell_angle_gamma 68.75
_space_group_name_H-M_alt 'P 1'
_space_group_IT_number 1
loop_
_space_group_symop_operation_xyz
'x,y,z'
loop_
_atom_site_label
_atom_site_type_symbol
_atom_site_fract_x
_atom_site_fract_y
_atom_site_fract_z
B1 B 0.0000 0.0000 0.0000
B2 B 0.4532 0.1242 0.9691
Pd1 Pd 0.0281 0.1939 0.7466
Au1 Au 0.6967 0.5518 0.0356
I1 I 0.6037 0.3027 0.4819
# **Formation energy from raw total energies**: 245 meV/atom
# **Polymorph energy (0 for the lowest one)**: 0.064 eV/atom
# **Total moment**: 0.000 μB/atom
# **Energy**: -22.1 eV/cell
# **Crystal system**: triclinic

***

[12]
# PBE B2PdAuI, relaxed
data_B2PdAuI
_cell_length_a 8.4925
_cell_length_b 3.2767
_cell_length_c 7.3471
_cell_angle_alpha 90.00
_cell_angle_beta 98.94
_cell_angle_gamma 90.00
_space_group_name_H-M_alt 'C 1 m 1'
_space_group_IT_number 8
loop_
_space_group_symop_operation_xyz
'x,y,z'
'x,-y,z'
'x+1/2,y+1/2,z'
'x+1/2,-y+1/2,z'
loop_
_atom_site_label
_atom_site_type_symbol
_atom_site_fract_x
_atom_site_fract_y
_atom_site_fract_z
B1 B 0.0000 0.0000 0.0000
B2 B 0.1651 0.0000 0.1543
Pd1 Pd 0.4116 0.0000 0.1346
Au1 Au 0.2297 0.5000 0.3472
I1 I 0.4829 0.5000 0.6958
# **Formation energy from raw total energies**: 398 meV/atom
# **Polymorph energy (0 for the lowest one)**: 0.216 eV/atom
# **Total moment**: 0.000 μB/atom
# **Energy**: -42.8 eV/cell
# **Crystal system**: monoclinic